Record 1
Density functional theory data (meta-GGA SCAN) for a PBEsol-optimized structure of TlSb.

```
data_TlSb
_cell_length_a 3.141
_cell_length_b 3.141
_cell_length_c 5.751
_cell_angle_alpha 90.00
_cell_angle_beta 90.00
_cell_angle_gamma 90.00
_space_group_name_H-M_alt 'P 4/m m m'
_space_group_IT_number 123
_space_group_name_Hall '-P 4 2'
loop_
_atom_site_label
_atom_site_type_symbol
_atom_site_fract_x
_atom_site_fract_y
_atom_site_fract_z
Tl1 Tl 0.000 0.000 0.000
Sb1 Sb 0.500 0.500 0.500
```

Results
V ... 28.37 Å³/atom
Magnetization ... 0.00 μB/atom
Uncorrected energy ... -54.73 eV per atom

***

Record 2
Density functional theory data (meta-GGA SCAN) for a PBEsol-optimized structure of TlSb3.

```
data_TlSb3
_cell_length_a 9.056
_cell_length_b 8.638
_cell_length_c 5.951
_cell_angle_alpha 90.00
_cell_angle_beta 90.00
_cell_angle_gamma 90.00
_space_group_name_H-M_alt 'C m c m'
_space_group_IT_number 63
_space_group_name_Hall '-C 2c 2'
loop_
_atom_site_label
_atom_site_type_symbol
_atom_site_fract_x
_atom_site_fract_y
_atom_site_fract_z
Tl1 Tl 0.000 0.083 0.250
Sb1 Sb 0.000 0.469 0.750
Sb2 Sb 0.217 0.216 0.750
```

Results
V ... 29.10 Å³/atom
Magnetization ... 0.00 μB/atom
Uncorrected energy ... -45.95 eV per atom

***

Record 3
Density functional theory data (meta-GGA SCAN) for a PBEsol-optimized structure of TlSb.

```
data_TlSb
_cell_length_a 11.790
_cell_length_b 9.064
_cell_length_c 6.528
_cell_angle_alpha 90.00
_cell_angle_beta 90.00
_cell_angle_gamma 90.00
_space_group_name_H-M_alt 'P b c m'
_space_group_IT_number 57
loop_
_space_group_symop_operation_xyz
'x,y,z'
'-x,-y,-z'
'-x,-y,z+1/2'
'x,y,-z+1/2'
'x,-y+1/2,-z'
'-x,y+1/2,z'
'-x,y+1/2,-z+1/2'
'x,-y+1/2,z+1/2'
loop_
_atom_site_label
_atom_site_type_symbol
_atom_site_fract_x
_atom_site_fract_y
_atom_site_fract_z
Tl1 Tl 0.138 0.250 0.000
Tl2 Tl 0.176 0.667 0.250
Tl3 Tl 0.323 0.037 0.250
Sb1 Sb 0.034 0.539 0.750
Sb2 Sb 0.391 0.063 0.750
Sb3 Sb 0.449 0.750 0.000
```

Results
V ... 29.07 Å³/atom
Magnetization ... 0.00 μB/atom
Uncorrected energy ... -54.73 eV per atom

***

Record 4
Density functional theory data (meta-GGA SCAN) for a PBEsol-optimized structure of Tl3Sb.

```
data_Tl3Sb
_cell_length_a 3.3629
_cell_length_b 3.3629
_cell_length_c 11.4714
_cell_angle_alpha 90.00
_cell_angle_beta 90.00
_cell_angle_gamma 120.00
_space_group_name_H-M_alt 'P -6 m 2'
_space_group_IT_number 187
_space_group_name_Hall 'P -6 2'
loop_
_atom_site_label
_atom_site_type_symbol
_atom_site_fract_x
_atom_site_fract_y
_atom_site_fract_z
Tl1 Tl 0.0000 0.0000 0.0000
Tl2 Tl 0.3333 0.6667 0.2579
Sb1 Sb 0.0000 0.0000 0.5000
```

Results
V ... 28.09 Å³/atom
Magnetization ... 0.00 μB/atom
Uncorrected energy ... -63.52 eV per atom

***

The ΔE_f (raw) results, record by record, are as follows: 0.082, 0.084, 0.084, 0.067 eV/atom.